# 1
{
  "formula": "KHfTe3",
  "functional": "PBEsol",
  "state": "optimized geometry",
  "lattice_angstrom": [[5.5674, 0.0000, 0.0000], [0.0000, 5.5674, 0.0000], [0.0000, 0.0000, 5.5674]],
  "species": ["K", "Hf", "Te", "Te", "Te"],
  "frac_coords": [[0.0000, 0.0000, 0.0000], [0.5000, 0.5000, 0.5000], [0.0000, 0.0000, 0.5000], [0.0000, 0.5000, 0.0000], [0.5000, 0.0000, 0.0000]],
  "raw_formation_energy_kj_per_mol_atoms": 122,
  "sg": "Pm-3m (221)",
  "dos_at_fermi_per_ev_cell": 6.9
}

# 2
{
  "formula": "Li2LaP",
  "functional": "PBEsol",
  "state": "optimized geometry",
  "lattice_angstrom": [[6.6956, -2.0483, 0.0000], [6.6956, 2.0483, 0.0000], [-1.2474, 0.0000, 3.9049]],
  "species": ["Li", "Li", "La", "P"],
  "frac_coords": [[0.1891, 0.1891, 0.1893], [0.8109, 0.8109, 0.8107], [0.5000, 0.5000, 0.5000], [0.0000, 0.0000, 0.0000]],
  "formation_energy_ev_per_atom": -0.588,
  "sg": "C2/m (12)",
  "dos_at_fermi_per_ev_cell": 2.9
}

# 3
{
  "formula": "GaAs2PbBr",
  "functional": "PBEsol",
  "state": "optimized geometry",
  "lattice_angstrom": [[5.3547, 0.0000, 0.0000], [0.0000, 5.3547, 0.0000], [0.0000, 0.0000, 5.7921]],
  "species": ["Ga", "As", "As", "Pb", "Br"],
  "frac_coords": [[0.0000, 0.0000, 0.0000], [0.0000, 0.5000, 0.5000], [0.5000, 0.0000, 0.5000], [0.5000, 0.5000, 0.5000], [0.5000, 0.5000, 0.0000]],
  "raw_formation_energy_kj_per_mol_atoms": 66,
  "sg": "P4/mmm (123)",
  "dos_at_fermi_per_ev_cell": 3.9
}

# 4
{
  "formula": "SbBrO2F6",
  "functional": "PBEsol",
  "state": "optimized geometry",
  "lattice_angstrom": [[7.1833, 0.0000, 0.0000], [0.0000, 5.9311, 0.0000], [-6.8697, 0.0000, 7.3779]],
  "species": ["Sb", "Sb", "Br", "Br", "O", "O", "O", "O", "F", "F", "F", "F", "F", "F", "F", "F", "F", "F", "F", "F"],
  "frac_coords": [[0.0000, 0.0123, 0.2500], [0.0000, 0.9877, 0.7500], [0.5000, 0.3281, 0.7500], [0.5000, 0.6719, 0.2500], [0.3453, 0.4827, 0.5714], [0.3453, 0.5173, 0.0714], [0.6547, 0.4827, 0.9286], [0.6547, 0.5173, 0.4286], [0.1538, 0.2301, 0.7226], [0.1538, 0.7699, 0.2226], [0.1624, 0.2268, 0.2202], [0.1624, 0.7732, 0.7202], [0.2844, 0.9999, 0.0055], [0.2844, 0.0001, 0.5055], [0.7156, 0.9999, 0.4945], [0.7156, 0.0001, 0.9945], [0.8376, 0.2268, 0.2798], [0.8376, 0.7732, 0.7798], [0.8462, 0.2301, 0.7774], [0.8462, 0.7699, 0.2774]],
  "raw_formation_energy_kj_per_mol_atoms": -141,
  "sg": "P2/c (13)",
  "dos_at_fermi_per_ev_cell": 0.0
}

# 5
{
  "formula": "LiAl2Cd",
  "functional": "PBEsol",
  "state": "optimized geometry",
  "lattice_angstrom": [[1.5281, -2.4590, 0.0000], [1.5281, 2.4590, 0.0000], [0.0000, 0.0000, 9.5280]],
  "species": ["Li", "Al", "Al", "Cd"],
  "frac_coords": [[0.0000, 0.0000, 0.0000], [0.5000, 0.5000, 0.2395], [0.5000, 0.5000, 0.7605], [0.0000, 0.0000, 0.5000]],
  "formation_energy_ev_per_atom": 0.060,
  "sg": "Cmmm (65)",
  "dos_at_fermi_per_ev_cell": 1.1
}

# 6
{
  "formula": "Sb2TePdW",
  "functional": "PBEsol",
  "state": "optimized geometry",
  "lattice_angstrom": [[5.1589, 0.0000, 0.0000], [0.0000, 5.1589, 0.0000], [0.0000, 0.0000, 5.1366]],
  "species": ["Sb", "Sb", "Te", "Pd", "W"],
  "frac_coords": [[0.0000, 0.5000, 0.0000], [0.5000, 0.0000, 0.0000], [0.0000, 0.0000, 0.5000], [0.5000, 0.5000, 0.5000], [0.0000, 0.0000, 0.0000]],
  "raw_formation_energy_kj_per_mol_atoms": 89,
  "sg": "P4/mmm (123)",
  "dos_at_fermi_per_ev_cell": 3.9
}